[1]
A relaxed YSiHO2 crystal, computed with PBE.

Unit cell a=4.1978 b=4.1978 c=3.0542 alpha=90.00 beta=90.00 gamma=90.00
Closest atoms and distances in Å follow each position.
Fractional positions:
Y  0.0000  0.0000  0.0000  8 O 2.60
Si  0.5000  0.5000  0.0000  2 H 1.53
H  0.5000  0.5000  0.5000  2 Si 1.53
O  0.0000  0.5000  0.5000  2 H 2.10
O  0.5000  0.0000  0.5000  2 H 2.10

Output
Crystal system   tetragonal
Total magnetization   0.000 μB/f.u.
DFT total energy   -5.832 eV per atom


[2]
A relaxed Zn4Si2H2O9 crystal, computed with PBE.

Unit cell a=7.3402 b=7.3402 c=5.1718 alpha=110.50 beta=110.50 gamma=97.22
Closest atoms and distances in Å follow each position.
Fractional positions:
Zn  0.1570  0.8430  0.0000  4 O 1.94-2.01
Zn  0.4192  0.7350  0.5762  4 O 1.97-2.01
Zn  0.7350  0.4192  0.5762  4 O 1.97-2.01
Zn  0.8430  0.1570  0.0000  4 O 1.94-2.01
Si  0.6439  0.9301  0.2951  4 O 1.64-1.65
Si  0.9301  0.6439  0.2951  4 O 1.64-1.65
H  0.2235  0.2235  0.2440  1 O 0.98
H  0.4390  0.4390  0.6929  1 O 0.98
O  0.1048  0.1048  0.1463  1 H 0.98
O  0.1536  0.7401  0.5853  1 Si 1.64
O  0.4197  0.8157  0.2497  1 Si 1.65
O  0.4637  0.4637  0.5329  1 H 0.98
O  0.6279  0.9473  0.9810  1 Si 1.64
O  0.7401  0.1536  0.5853  1 Si 1.64
O  0.7910  0.7910  0.3891  2 Si 1.64
O  0.8157  0.4197  0.2497  1 Si 1.65
O  0.9473  0.6279  0.9810  1 Si 1.64

Output
Crystal system   monoclinic
Total magnetization   0.000 μB/f.u.
DFT total energy   -5.819 eV per atom


[3]
A relaxed Sm2H3O crystal, computed with PBE.

Unit cell a=5.4426 b=5.4426 c=5.4426 alpha=90.00 beta=90.00 gamma=90.00
Closest atoms and distances in Å follow each position.
Fractional positions:
Sm  0.0000  0.0000  0.0000  2 O 2.36, 6 H 2.36
Sm  0.0000  0.5000  0.5000  2 O 2.36, 6 H 2.36
Sm  0.5000  0.0000  0.5000  2 O 2.36, 6 H 2.36
Sm  0.5000  0.5000  0.0000  2 O 2.36, 6 H 2.36
H  0.2500  0.2500  0.7500  4 Sm 2.36
H  0.2500  0.7500  0.2500  4 Sm 2.36
H  0.2500  0.7500  0.7500  4 Sm 2.36
H  0.7500  0.2500  0.2500  4 Sm 2.36
H  0.7500  0.2500  0.7500  4 Sm 2.36
H  0.7500  0.7500  0.2500  4 Sm 2.36
O  0.2500  0.2500  0.2500  4 Sm 2.36
O  0.7500  0.7500  0.7500  4 Sm 2.36

Output
Crystal system   cubic
Total magnetization   0.000 μB/f.u.
DFT total energy   -5.439 eV per atom